VASP calculation (PBE) on BaCaPdW2 after structural relaxation.

Computed properties:
E in eV/cell: -22.19
V in Å³ per cell: 136.4
Formation energy from the elements in eV per atom: 2.567

Lattice parameters (Å, degrees): 4.857 4.857 5.780 90.00 90.00 90.00
Space group P4/mmm (No. 123)
Symmetry-distinct sites (fractional):
Ba (0.000, 0.000, 0.000) (multiplicity 1)
Ca (0.000, 0.000, 0.500) (multiplicity 1)
Pd (0.500, 0.500, 0.000) (multiplicity 1)
W (0.000, 0.500, 0.500) (multiplicity 2)